Computed, not measured: an optimized crystal structure of CaIn2 at the PBE level of DFT.

Properties
Total energy in eV per atom: -2.79
DOS(E_F) in states/eV/cell: 6.10

Cell: 12.3998 3.6171 8.0960 Å, 90.00 111.63 90.00°
With the nearest neighbours (Å) after each atom.
Space group C2/m (No. 12)
Asymmetric unit:
Ca 0.0283 0.0000 0.2900 [4 per cell]  9 In 3.33-3.46, 3 Ca 3.62-3.72
In 0.1525 0.5000 0.0416 [4 per cell]  5 In 3.13-3.38, 4 Ca 3.33-3.46
In 0.1899 0.5000 0.6485 [4 per cell]  3 In 3.13-3.38, 5 Ca 3.34-3.44

Computed, not measured: an optimized crystal structure of Ca2In at the PBE level of DFT.

Properties
Total energy in eV per atom: -2.62
DOS(E_F) in states/eV/cell: 11.38

Cell: 7.2036 5.3750 9.9884 Å, 90.00 90.00 90.00°
With the nearest neighbours (Å) after each atom.
Space group Pnma (No. 62)
Asymmetric unit:
Ca 0.0359 0.2500 0.2033 [4 per cell]  5 In 3.39-3.70, 6 Ca 3.67-3.76
Ca 0.1741 0.2500 0.5660 [4 per cell]  4 In 3.24-3.31
In 0.2206 0.2500 0.8886 [4 per cell]  7 Ca 3.24-3.41

Computed, not measured: an optimized crystal structure of CaIn2 at the PBE level of DFT.

Properties
Total energy in eV per atom: -2.79
DOS(E_F) in states/eV/cell: 6.48

Cell: 4.2637 15.1859 5.2191 Å, 90.00 90.00 90.00°
With the nearest neighbours (Å) after each atom.
Space group Cmcm (No. 63)
Asymmetric unit:
Ca 0.0000 0.0941 0.2500 [4 per cell]  10 In 3.33-3.38
In 0.0000 0.2344 0.7500 [4 per cell]  6 In 3.23-3.40, 4 Ca 3.37
In 0.0000 0.4256 0.2500 [4 per cell]  4 In 3.23-3.45, 6 Ca 3.33-3.38

Computed, not measured: an optimized crystal structure of CaIn2Ir at the PBE level of DFT.

Properties
Total energy in eV per atom: -4.35
DOS(E_F) in states/eV/cell: 2.70

Cell: 7.9190 4.5582 5.8816 Å, 90.00 116.37 90.00°
With the nearest neighbours (Å) after each atom.
Space group C2/m (No. 12)
Asymmetric unit:
Ca 0.0000 0.0000 0.0000 [2 per cell]  8 In 3.20-3.45
In 0.2181 0.0000 0.6548 [4 per cell]  3 Ir 2.76
Ir 0.0000 0.5000 0.5000 [2 per cell]  6 In 2.76

| no. | magnetic moment (μB per cell) |
| --- | --- |
| 1 | 0.000 |
| 2 | 0.000 |
| 3 | 0.000 |
| 4 | 0.000 |